(1)
! Al3GaSb (PBE, relaxed); values from VASP
! **Energy above the lowest structure with this stoichiometry**: 2.38 eV/f.u.
! **Uncorrected formation energy**: 892 meV/atom
&SYSTEM
  ibrav = 0, nat = 5, ntyp = 3
/
ATOMIC_SPECIES
Al 26.98 Al.upf
Ga 69.72 Ga.upf
Sb 121.76 Sb.upf
CELL_PARAMETERS angstrom
-1.974 4.890 0.797
-4.028 -1.085 -3.323
-2.884 -1.832 4.094
ATOMIC_POSITIONS crystal
Al 0.500 0.000 0.000
Al 0.000 0.500 0.000
Al 0.000 0.000 0.500
Ga 0.500 0.500 0.500
Sb 0.000 0.000 0.000

=====

(2)
! AlGa2Sb (PBE, relaxed); values from VASP
! **Energy above the lowest structure with this stoichiometry**: 0.31 eV/f.u.
! **Uncorrected formation energy**: 180 meV/atom
&SYSTEM
  ibrav = 0, nat = 8, ntyp = 3
/
ATOMIC_SPECIES
Sb 121.76 Sb.upf
Ga 69.72 Ga.upf
Al 26.98 Al.upf
CELL_PARAMETERS angstrom
-0.359 -4.430 4.403
5.735 -1.981 -1.525
4.944 0.396 5.246
ATOMIC_POSITIONS crystal
Sb 0.750 0.250 0.500
Sb 0.000 0.000 0.000
Ga 0.141 0.625 0.250
Ga 0.609 0.125 0.250
Ga 0.875 0.859 0.750
Ga 0.375 0.391 0.750
Al 0.500 0.500 0.000
Al 0.250 0.750 0.500

=====

(3)
! AlGa3Sb (PBE, relaxed); values from VASP
! **Energy above the lowest structure with this stoichiometry**: 2.08 eV/f.u.
! **Uncorrected formation energy**: 721 meV/atom
&SYSTEM
  ibrav = 0, nat = 5, ntyp = 3
/
ATOMIC_SPECIES
Ga 69.72 Ga.upf
Sb 121.76 Sb.upf
Al 26.98 Al.upf
CELL_PARAMETERS angstrom
5.335 0.000 0.000
0.000 5.335 0.000
0.000 0.000 5.335
ATOMIC_POSITIONS crystal
Ga 0.500 0.000 0.000
Ga 0.000 0.000 0.500
Ga 0.000 0.500 0.000
Sb 0.000 0.000 0.000
Al 0.500 0.500 0.500

=====

(4)
! AlGa2Sb (PBE, relaxed); values from VASP
! **Energy above the lowest structure with this stoichiometry**: 0.00 eV/f.u.
! **Uncorrected formation energy**: 102 meV/atom
&SYSTEM
  ibrav = 0, nat = 4, ntyp = 3
/
ATOMIC_SPECIES
Ga 69.72 Ga.upf
Al 26.98 Al.upf
Sb 121.76 Sb.upf
CELL_PARAMETERS angstrom
3.065 0.000 0.000
1.532 2.654 0.000
1.532 0.885 10.432
ATOMIC_POSITIONS crystal
Ga 0.906 0.906 0.281
Ga 0.094 0.094 0.719
Al 0.500 0.500 0.500
Sb 0.000 0.000 0.000

=====

(5)
! Al3GaSb (PBE, relaxed); values from VASP
! **Energy above the lowest structure with this stoichiometry**: 0.00 eV/f.u.
! **Uncorrected formation energy**: 416 meV/atom
&SYSTEM
  ibrav = 0, nat = 5, ntyp = 3
/
ATOMIC_SPECIES
Al 26.98 Al.upf
Sb 121.76 Sb.upf
Ga 69.72 Ga.upf
CELL_PARAMETERS angstrom
-0.971 -0.624 -4.733
-2.775 -3.856 1.078
-3.885 2.911 0.413
ATOMIC_POSITIONS crystal
Al 0.000 0.500 0.000
Al 0.500 0.000 0.000
Al 0.000 0.000 0.500
Sb 0.500 0.500 0.500
Ga 0.000 0.000 0.000

=====

(6)
! Al2Ga2Sb (PBE, relaxed); values from VASP
! **Energy above the lowest structure with this stoichiometry**: 0.16 eV/f.u.
! **Uncorrected formation energy**: 107 meV/atom
&SYSTEM
  ibrav = 0, nat = 10, ntyp = 3
/
ATOMIC_SPECIES
Ga 69.72 Ga.upf
Al 26.98 Al.upf
Sb 121.76 Sb.upf
CELL_PARAMETERS angstrom
8.248 0.000 0.000
0.000 8.248 0.000
0.000 0.000 2.946
ATOMIC_POSITIONS crystal
Ga 0.833 0.667 0.000
Ga 0.333 0.833 0.000
Ga 0.667 0.167 0.000
Ga 0.167 0.333 0.000
Al 0.871 0.371 0.500
Al 0.371 0.129 0.500
Al 0.129 0.629 0.500
Al 0.629 0.871 0.500
Sb 0.500 0.500 0.000
Sb 0.000 0.000 0.000

=====

(7)
! Al2GaSb (PBE, relaxed); values from VASP
! **Energy above the lowest structure with this stoichiometry**: 0.00 eV/f.u.
! **Uncorrected formation energy**: 184 meV/atom
&SYSTEM
  ibrav = 0, nat = 4, ntyp = 3
/
ATOMIC_SPECIES
Al 26.98 Al.upf
Sb 121.76 Sb.upf
Ga 69.72 Ga.upf
CELL_PARAMETERS angstrom
0.000 3.463 3.463
3.463 0.000 3.463
3.463 3.463 0.000
ATOMIC_POSITIONS crystal
Al 0.750 0.750 0.750
Al 0.250 0.250 0.250
Sb 0.500 0.500 0.500
Ga 0.000 0.000 0.000

=====

(8)
! Al3Ga12Sb5 (PBE, relaxed); values from VASP
! **Uncorrected formation energy**: 98 meV/atom
&SYSTEM
  ibrav = 0, nat = 80, ntyp = 3
/
ATOMIC_SPECIES
Ga 69.72 Ga.upf
Sb 121.76 Sb.upf
Al 26.98 Al.upf
CELL_PARAMETERS angstrom
-8.380 2.034 -10.720
10.890 -7.381 -4.028
-6.751 -6.800 9.873
ATOMIC_POSITIONS crystal
Ga 0.743 0.602 0.168
Ga 0.668 0.243 0.602
Ga 0.832 0.898 0.257
Ga 0.257 0.398 0.832
Ga 0.640 0.566 0.898
Ga 0.332 0.575 0.434
Ga 0.075 0.640 0.743
Ga 0.332 0.757 0.398
Ga 0.398 0.257 0.332
Ga 0.243 0.668 0.102
Ga 0.434 0.360 0.602
Ga 0.668 0.425 0.566
Ga 0.566 0.925 0.668
Ga 0.140 0.743 0.575
Ga 0.575 0.332 0.934
Ga 0.168 0.066 0.925
Ga 0.140 0.398 0.066
Ga 0.832 0.934 0.075
Ga 0.934 0.102 0.860
Ga 0.898 0.832 0.757
Ga 0.925 0.566 0.168
Ga 0.257 0.860 0.925
Ga 0.425 0.668 0.066
Ga 0.168 0.102 0.743
Ga 0.066 0.898 0.140
Ga 0.066 0.168 0.425
Ga 0.925 0.360 0.257
Ga 0.243 0.575 0.640
Ga 0.102 0.168 0.243
Ga 0.602 0.860 0.434
Ga 0.566 0.640 0.398
Ga 0.743 0.140 0.075
Ga 0.075 0.434 0.832
Ga 0.398 0.140 0.566
Ga 0.425 0.757 0.860
Ga 0.360 0.925 0.757
Ga 0.575 0.243 0.140
Ga 0.757 0.425 0.360
Ga 0.934 0.832 0.575
Ga 0.860 0.602 0.934
Ga 0.602 0.743 0.668
Ga 0.640 0.075 0.243
Ga 0.434 0.075 0.332
Ga 0.757 0.332 0.898
Ga 0.360 0.434 0.102
Ga 0.898 0.066 0.640
Ga 0.102 0.934 0.360
Ga 0.860 0.257 0.425
Sb 0.750 0.125 0.875
Sb 0.250 0.375 0.625
Sb 0.125 0.375 0.250
Sb 0.500 0.000 0.000
Sb 0.625 0.875 0.250
Sb 0.625 0.750 0.875
Sb 0.000 0.000 0.500
Sb 0.875 0.250 0.625
Sb 0.750 0.625 0.375
Sb 0.500 0.000 0.500
Sb 0.500 0.500 0.500
Sb 0.000 0.500 0.000
Sb 0.375 0.250 0.125
Sb 0.125 0.750 0.375
Sb 0.375 0.125 0.750
Sb 0.000 0.000 0.000
Sb 0.250 0.875 0.125
Sb 0.500 0.500 0.000
Sb 0.875 0.625 0.750
Sb 0.000 0.500 0.500
Al 0.250 0.125 0.375
Al 0.750 0.875 0.625
Al 0.875 0.750 0.125
Al 0.250 0.625 0.875
Al 0.750 0.375 0.125
Al 0.125 0.875 0.750
Al 0.375 0.750 0.625
Al 0.375 0.625 0.250
Al 0.125 0.250 0.875
Al 0.625 0.375 0.750
Al 0.625 0.250 0.375
Al 0.875 0.125 0.250

=====

no.,total moment (μB per formula unit)
1,0.0
2,0.0
3,0.0
4,0.0
5,0.0
6,0.0
7,0.0
8,0.0